Entry 1:
Compound: Rb2InCF
Source: Alexandria via LeMat-Bulk
Functional: PBE-GGA
Structure: relaxed

Properties
Space group: P4/mmm, No. 123
Uncorrected energy in eV per atom: -3.15
ρ in g/cm³: 3.05
Size of the total moment in μB/atom: 0.0000

Lattice parameters (Å, degrees): 6.637 3.914 6.637 90.00 90.00 90.00
Sites, in units of the cell vectors:
1 C 0.000 0.500 0.000
2 F 0.500 0.500 0.500
3 Rb 0.000 0.000 0.500
4 Rb 0.500 0.000 0.000
5 In 0.000 0.000 0.000

Entry 2:
Compound: InCSe2F
Source: Alexandria via LeMat-Bulk
Functional: PBE-GGA
Structure: relaxed

Properties
Space group: P4/mmm, No. 123
Uncorrected energy in eV per atom: -3.73
ρ in g/cm³: 4.50
Size of the total moment in μB/atom: 0.0000

Lattice parameters (Å, degrees): 4.132 6.562 4.132 90.00 90.00 90.00
Sites, in units of the cell vectors:
1 C 0.000 0.000 0.000
2 F 0.500 0.500 0.500
3 Se 0.000 0.000 0.500
4 Se 0.500 0.000 0.000
5 In 0.000 0.500 0.000

Entry 3:
Compound: InSi2CF
Source: Alexandria via LeMat-Bulk
Functional: PBE-GGA
Structure: relaxed

Properties
Space group: P4/mmm, No. 123
Uncorrected energy in eV per atom: -3.32
ρ in g/cm³: 3.02
Size of the total moment in μB/atom: 0.1134

Lattice parameters (Å, degrees): 5.240 4.042 5.240 90.00 90.00 90.00
Sites, in units of the cell vectors:
1 Si 0.000 0.000 0.500
2 Si 0.500 0.000 0.000
3 F 0.500 0.500 0.500
4 C 0.000 0.500 0.000
5 In 0.000 0.000 0.000

Entry 4:
Compound: SrIn2CF
Source: Alexandria via LeMat-Bulk
Functional: PBE-GGA
Structure: relaxed

Properties
Space group: P4/mmm, No. 123
Uncorrected energy in eV per atom: -3.29
ρ in g/cm³: 4.52
Size of the total moment in μB/atom: 0.3263

Lattice parameters (Å, degrees): 4.672 5.856 4.672 90.00 90.00 90.00
Sites, in units of the cell vectors:
1 Sr 0.500 0.500 0.500
2 C 0.000 0.500 0.000
3 F 0.000 0.000 0.000
4 In 0.000 0.000 0.500
5 In 0.500 0.000 0.000

Entry 5:
Compound: In2TcCF
Source: Alexandria via LeMat-Bulk
Functional: PBE-GGA
Structure: relaxed

Properties
Space group: P4/mmm, No. 123
Uncorrected energy in eV per atom: -5.02
ρ in g/cm³: 6.39
Size of the total moment in μB/atom: 0.3112

Lattice parameters (Å, degrees): 4.861 3.943 4.861 90.00 90.00 90.00
Sites, in units of the cell vectors:
1 C 0.000 0.000 0.000
2 F 0.500 0.500 0.500
3 Tc 0.000 0.500 0.000
4 In 0.000 0.000 0.500
5 In 0.500 0.000 0.000

Entry 6:
Compound: TlInCF2
Source: Alexandria via LeMat-Bulk
Functional: PBE-GGA
Structure: relaxed

Properties
Space group: P4/mmm, No. 123
Uncorrected energy in eV per atom: -3.74
ρ in g/cm³: 6.20
Size of the total moment in μB/atom: 0.3893

Lattice parameters (Å, degrees): 4.820 4.259 4.820 90.00 90.00 90.00
Sites, in units of the cell vectors:
1 Tl 0.000 0.000 0.000
2 F 0.000 0.000 0.500
3 F 0.500 0.000 0.000
4 C 0.000 0.500 0.000
5 In 0.500 0.500 0.500

Entry 7:
Compound: ZrIn2CF
Source: Alexandria via LeMat-Bulk
Functional: PBE-GGA
Structure: relaxed

Properties
Space group: P4/mmm, No. 123
Uncorrected energy in eV per atom: -4.36
ρ in g/cm³: 6.23
Size of the total moment in μB/atom: 0.0000

Lattice parameters (Å, degrees): 4.580 4.470 4.580 90.00 90.00 90.00
Sites, in units of the cell vectors:
1 C 0.000 0.000 0.000
2 F 0.000 0.500 0.000
3 Zr 0.500 0.500 0.500
4 In 0.000 0.000 0.500
5 In 0.500 0.000 0.000

Entry 8:
Compound: ZrInCF2
Source: Alexandria via LeMat-Bulk
Functional: PBE-GGA
Structure: relaxed

Properties
Space group: P4/mmm, No. 123
Uncorrected energy in eV per atom: -6.05
ρ in g/cm³: 5.16
Size of the total moment in μB/atom: 0.0000

Lattice parameters (Å, degrees): 4.295 4.466 4.295 90.00 90.00 90.00
Sites, in units of the cell vectors:
1 C 0.000 0.500 0.000
2 F 0.000 0.000 0.500
3 F 0.500 0.000 0.000
4 Zr 0.000 0.000 0.000
5 In 0.500 0.500 0.500